[1]
DFT (GGA-PBE) results for a relaxed Ac2La12Ag7 crystal.

Calculated values
Crystal system ... hexagonal
Final energy ... -4.2722 eV per atom
Energy relative to the elements ... -0.115 eV per atom

Lattice parameters (Å, degrees): 14.0543 14.0543 3.9028 90.00 90.00 120.00
With the nearest neighbours (Å) after each atom.
Atoms (fractional coordinates):
Ac  0.0000  0.0000  0.0000  6 Ag 3.47
Ac  0.3333  0.6667  0.5000  6 Ag 3.55, 2 Ac 3.90, 6 La 3.95
La  0.0472  0.2756  0.5000  4 Ag 3.13-3.44
La  0.1068  0.6985  0.0000  4 Ag 3.13-3.32
La  0.2284  0.9528  0.5000  4 Ag 3.13-3.44
La  0.3015  0.4082  0.0000  4 Ag 3.13-3.32
La  0.3928  0.1906  0.0000  3 Ag 3.17-3.33, 2 La 3.55
La  0.5503  0.4432  0.5000  4 Ag 3.37-3.44, 4 La 3.63-3.67
La  0.5568  0.1071  0.5000  4 Ag 3.37-3.44, 4 La 3.63-3.67
La  0.5918  0.8932  0.0000  4 Ag 3.13-3.32
La  0.7244  0.7716  0.5000  4 Ag 3.13-3.44
La  0.7978  0.6072  0.0000  3 Ag 3.17-3.33, 2 La 3.55
La  0.8094  0.2022  0.0000  3 Ag 3.17-3.33, 2 La 3.55
La  0.8929  0.4497  0.5000  4 Ag 3.37-3.44, 4 La 3.63-3.67
Ag  0.1064  0.4753  0.0000  6 La 3.13-3.44
Ag  0.2150  0.1909  0.5000  6 La 3.13-3.44, 2 Ac 3.47
Ag  0.3689  0.8936  0.0000  6 La 3.13-3.44
Ag  0.5247  0.6311  0.0000  6 La 3.13-3.44
Ag  0.6667  0.3333  0.0000  9 La 3.33-3.37
Ag  0.8091  0.0241  0.5000  6 La 3.13-3.44, 2 Ac 3.47
Ag  0.9759  0.7850  0.5000  6 La 3.13-3.44, 2 Ac 3.47

---

[2]
DFT (GGA-PBE) results for a relaxed Ac2La3Ag2 crystal.

Calculated values
Crystal system ... monoclinic
Final energy ... -4.2327 eV per atom
Energy relative to the elements ... -0.132 eV per atom

Lattice parameters (Å, degrees): 6.9413 6.9413 9.9389 114.16 114.16 34.16
With the nearest neighbours (Å) after each atom.
Atoms (fractional coordinates):
Ac  0.1525  0.1525  0.3101  2 Ag 3.37
Ac  0.8475  0.8475  0.6899  2 Ag 3.37
La  0.3847  0.3847  0.0505  3 Ag 3.22-3.30, 1 La 3.61
La  0.5000  0.5000  0.5000  4 Ag 3.12
La  0.6153  0.6153  0.9495  3 Ag 3.22-3.30, 1 La 3.61
Ag  0.1599  0.1599  0.7298  5 La 3.12-3.30, 2 Ac 3.37
Ag  0.8401  0.8401  0.2702  5 La 3.12-3.30, 2 Ac 3.37

---

[3]
DFT (GGA-PBE) results for a relaxed Ac3LaAg6 crystal.

Calculated values
Crystal system ... cubic
Final energy ... -3.0555 eV per atom
Energy relative to the elements ... 0.381 eV per atom

Lattice parameters (Å, degrees): 7.9302 7.9302 7.9302 60.00 60.00 60.00
With the nearest neighbours (Å) after each atom.
Atoms (fractional coordinates):
Ac  0.0000  0.0000  0.0000  6 Ag 2.85
Ac  0.2500  0.2500  0.2500  12 Ag 3.97
Ac  0.7500  0.7500  0.7500  12 Ag 3.97
La  0.5000  0.5000  0.5000  6 Ag 2.76
Ag  0.2538  0.2538  0.7462  1 La 2.76, 1 Ac 2.85
Ag  0.2538  0.7462  0.2538  1 La 2.76, 1 Ac 2.85
Ag  0.2538  0.7462  0.7462  1 La 2.76, 1 Ac 2.85
Ag  0.7462  0.2538  0.2538  1 La 2.76, 1 Ac 2.85
Ag  0.7462  0.2538  0.7462  1 La 2.76, 1 Ac 2.85
Ag  0.7462  0.7462  0.2538  1 La 2.76, 1 Ac 2.85

---

[4]
DFT (GGA-PBE) results for a relaxed Ac2LaAg9 crystal.

Calculated values
Crystal system ... trigonal
Final energy ... -3.3981 eV per atom
Energy relative to the elements ... -0.164 eV per atom

Lattice parameters (Å, degrees): 10.1194 10.1194 10.1194 33.54 33.54 33.54
With the nearest neighbours (Å) after each atom.
Atoms (fractional coordinates):
Ac  0.1409  0.1409  0.1409  12 Ag 3.38-3.60, 3 Ac 3.68
Ac  0.8591  0.8591  0.8591  12 Ag 3.38-3.60, 3 Ac 3.68
La  0.0000  0.0000  0.0000  18 Ag 3.37-3.74
Ag  0.0814  0.5815  0.5815  7 Ag 2.86-2.96
Ag  0.3327  0.3327  0.3327  6 Ag 2.86-2.89
Ag  0.4185  0.4185  0.9186  7 Ag 2.86-2.96
Ag  0.4185  0.9186  0.4185  7 Ag 2.86-2.96
Ag  0.5000  0.5000  0.5000  6 Ag 2.96
Ag  0.5815  0.0814  0.5815  7 Ag 2.86-2.96
Ag  0.5815  0.5815  0.0814  7 Ag 2.86-2.96
Ag  0.6673  0.6673  0.6673  6 Ag 2.86-2.89
Ag  0.9186  0.4185  0.4185  7 Ag 2.86-2.96

---

[5]
DFT (GGA-PBE) results for a relaxed Ac3La2Ag crystal.

Calculated values
Crystal system ... orthorhombic
Final energy ... -4.2213 eV per atom
Energy relative to the elements ... -0.049 eV per atom

Lattice parameters (Å, degrees): 9.8592 9.8592 3.9769 90.00 90.00 144.21
With the nearest neighbours (Å) after each atom.
Atoms (fractional coordinates):
Ac  0.0000  0.0000  0.0000  4 Ag 3.62, 4 La 3.96, 6 Ac 3.98-4.01
Ac  0.1856  0.8144  0.5000  6 La 3.74-3.89, 6 Ac 3.88-4.01
Ac  0.8144  0.1856  0.5000  6 La 3.74-3.89, 6 Ac 3.88-4.01
La  0.3639  0.6361  0.0000  2 Ag 3.24
La  0.6361  0.3639  0.0000  2 Ag 3.24
Ag  0.5000  0.5000  0.5000  4 La 3.24, 4 Ac 3.62

---

[6]
DFT (GGA-PBE) results for a relaxed Ac4La3Ag crystal.

Calculated values
Crystal system ... tetragonal
Final energy ... -4.3021 eV per atom
Energy relative to the elements ... -0.044 eV per atom

Lattice parameters (Å, degrees): 3.9119 3.9119 20.2149 90.00 90.00 90.00
With the nearest neighbours (Å) after each atom.
Atoms (fractional coordinates):
Ac  0.0000  0.0000  0.0994  4 Ag 3.42
Ac  0.0000  0.0000  0.3664  8 La 3.83-3.87, 4 Ac 3.91
Ac  0.0000  0.0000  0.6336  8 La 3.83-3.87, 4 Ac 3.91
Ac  0.0000  0.0000  0.9006  4 Ag 3.42
La  0.5000  0.5000  0.2351  8 Ac 3.83-3.90, 4 La 3.91
La  0.5000  0.5000  0.5000  8 Ac 3.87, 4 La 3.91
La  0.5000  0.5000  0.7649  8 Ac 3.83-3.90, 4 La 3.91
Ag  0.5000  0.5000  0.0000  8 Ac 3.42

---

[7]
DFT (GGA-PBE) results for a relaxed AcLa3Ag2 crystal.

Calculated values
Crystal system ... tetragonal
Final energy ... -4.2600 eV per atom
Energy relative to the elements ... -0.161 eV per atom

Lattice parameters (Å, degrees): 3.8434 3.8434 13.0141 90.00 90.00 90.00
With the nearest neighbours (Å) after each atom.
Atoms (fractional coordinates):
Ac  0.0000  0.0000  0.0000  8 La 3.84, 4 Ac 3.84
La  0.5000  0.5000  0.2083  4 Ag 3.31
La  0.5000  0.5000  0.5000  8 Ag 3.32
La  0.5000  0.5000  0.7917  4 Ag 3.31
Ag  0.0000  0.0000  0.3537  8 La 3.31-3.32
Ag  0.0000  0.0000  0.6463  8 La 3.31-3.32

---

[8]
DFT (GGA-PBE) results for a relaxed AcLa3Ag crystal.

Calculated values
Crystal system ... triclinic
Offset from the most stable computed form ... 0.000 eV/atom
Final energy ... -4.4301 eV per atom
Energy relative to the elements ... -0.082 eV per atom

Lattice parameters (Å, degrees): 3.8856 7.0791 13.2366 92.44 90.04 105.90
With the nearest neighbours (Å) after each atom.
Atoms (fractional coordinates):
Ac  0.2251  0.4488  0.2418  2 Ag 3.39, 1 La 3.72
Ac  0.7749  0.5512  0.7582  2 Ag 3.39, 1 La 3.72
La  0.0384  0.0759  0.6909  2 Ag 3.30, 1 La 3.69
La  0.1355  0.2716  0.9566  4 Ag 3.29-3.32
La  0.3643  0.7304  0.5251  9 La 3.69-3.89, 3 Ac 3.89-4.14
La  0.6357  0.2696  0.4749  9 La 3.69-3.89, 3 Ac 3.89-4.14
La  0.8645  0.7284  0.0434  4 Ag 3.29-3.32
La  0.9616  0.9241  0.3091  2 Ag 3.30, 1 La 3.69
Ag  0.4536  0.9070  0.8691  6 La 3.29-3.32, 2 Ac 3.39, 1 Ag 3.64
Ag  0.5464  0.0930  0.1309  6 La 3.29-3.32, 2 Ac 3.39, 1 Ag 3.64

---

- energy relative to the elements of number 7 (AcLa3Ag2)?
  -0.161 eV per atom